# 1
# NaMo

A relaxed structure of NaMo (PBE, Alexandria via LeMat-Bulk).

## Properties
Offset from the most stable computed form   399.2 meV per atom
Space group   P6_3/m (176)
Energy relative to the elements   0.89 eV per atom

```
12
Lattice="10.5484 0.0000 0.0000 -5.2742 9.1352 0.0000 0.0000 0.0000 2.5757" Properties=species:S:1:pos:R:3 pbc="T T T"
Na -0.9660 2.7302 0.6439
Na -2.4268 8.6066 0.6439
Na 1.8815 2.2017 1.9318
Na 3.3927 6.9335 0.6439
Na 7.7010 0.5286 1.9318
Na 6.2402 6.4050 1.9318
Mo -1.4475 5.6143 0.6439
Mo 1.1358 5.0745 0.6439
Mo 0.3117 7.5816 0.6439
Mo 4.9625 1.5536 1.9318
Mo 4.1384 4.0607 1.9318
Mo 6.7217 3.5209 1.9318
```

---

# 2
# NaNb2Mo

A relaxed structure of NaNb2Mo (PBE, Alexandria via LeMat-Bulk).

## Properties
Offset from the most stable computed form   566.7 meV per atom
Space group   I-42d (122)
Energy relative to the elements   1.24 eV per atom

```
8
Lattice="-1.9930 1.9930 9.7733 1.9930 -1.9930 9.7733 1.9930 1.9930 -9.7733" Properties=species:S:1:pos:R:3 pbc="T T T"
Na 0.0000 0.0000 0.0000
Na 0.0000 1.9930 4.8867
Nb 0.9965 -0.9168 7.3300
Nb 1.0763 0.9965 2.4433
Nb 0.9965 2.9098 -2.4433
Nb 0.9168 0.9965 12.2167
Mo 1.9930 0.0000 4.8867
Mo 0.0000 0.0000 9.7733
```